(1)
DFT (PBE-GGA) results for Sr2CaTi3O9 after structural relaxation.

- Total magnetization: 0.0 μB per formula unit
- Offset from the most stable computed form: 0.4 kJ per mole of atoms
- DOS(E_F): 0.00 states/eV/cell
- Calculated total energy: -8.036 eV per atom
- Crystal system: orthorhombic
- Energy relative to the elements, uncorrected: -46.9 eV per formula unit

Cell: 12.3372 12.3171 5.5606 Å, 77.17 76.76 26.07°
Positions (direct):
1 O 0.5549 0.5909 0.4091
2 O 0.2453 0.2263 0.7737
3 O 0.2486 0.2514 0.2486
4 O 0.7486 0.7514 0.7486
5 O 0.2127 0.7873 0.7779
6 O 0.5934 0.5754 0.8954
7 O 0.1127 0.0815 0.9185
8 O 0.5287 0.1368 0.4476
9 O 0.1131 0.5524 0.8632
10 O 0.7737 0.7547 0.2453
11 O 0.0642 0.1046 0.4246
12 O 0.7779 0.2221 0.2127
13 O 0.8632 0.4713 0.1131
14 O 0.4246 0.4066 0.0642
15 O 0.8954 0.9358 0.5934
16 O 0.4091 0.4451 0.5549
17 O 0.4476 0.8869 0.5287
18 O 0.9185 0.8873 0.1127
19 Sr 0.9235 0.4118 0.5882
20 Sr 0.5882 0.0765 0.9235
21 Sr 0.2463 0.7537 0.2463
22 Sr 0.7462 0.2538 0.7462
23 Ti 0.1730 0.6583 0.8393
24 Ti 0.8393 0.3294 0.1730
25 Ti 0.5103 0.9897 0.5103
26 Ti 0.0103 0.4897 0.0103
27 Ti 0.3417 0.8270 0.6706
28 Ti 0.6706 0.1607 0.3417
29 Ca 0.0933 0.5749 0.4251
30 Ca 0.4251 0.9067 0.0933

***

(2)
DFT (PBE-GGA) results for Dy2Ga12Cu after structural relaxation.

- Total magnetization: 0.0 μB per formula unit
- Formation energy: -4.52 eV per formula unit
- DOS(E_F): 9.22 states/eV/cell
- Calculated total energy: -3.609 eV per atom
- Crystal system: tetragonal

Cell: 6.1314 6.1314 15.1065 Å, 90.00 90.00 90.00°
Positions (direct):
1 Ga 0.5000 0.5000 0.1832
2 Ga 0.8338 0.3338 0.5705
3 Ga 0.5000 0.5000 0.6560
4 Ga 0.2505 0.2495 0.0872
5 Ga 0.6662 0.8338 0.5705
6 Ga 0.3338 0.1662 0.5705
7 Ga 0.0000 0.0000 0.6560
8 Ga 0.7505 0.2505 0.0872
9 Ga 0.7495 0.7505 0.0872
10 Ga 0.0000 0.0000 0.8168
11 Ga 0.5000 0.5000 0.8168
12 Ga 0.2505 0.7505 0.9128
13 Ga 0.2495 0.7495 0.0872
14 Ga 0.7505 0.7495 0.9128
15 Ga 0.5000 0.5000 0.3440
16 Ga 0.0000 0.0000 0.1832
17 Ga 0.1662 0.3338 0.4295
18 Ga 0.0000 0.0000 0.3440
19 Ga 0.8338 0.6662 0.4295
20 Ga 0.3338 0.8338 0.4295
21 Ga 0.2495 0.2505 0.9128
22 Ga 0.1662 0.6662 0.5705
23 Ga 0.7495 0.2495 0.9128
24 Ga 0.6662 0.1662 0.4295
25 Cu 0.0000 0.5000 0.0000
26 Cu 0.5000 0.0000 0.0000
27 Dy 0.0000 0.5000 0.2442
28 Dy 0.5000 0.0000 0.2442
29 Dy 0.0000 0.5000 0.7558
30 Dy 0.5000 0.0000 0.7558

***

(3)
DFT (PBE-GGA) results for BeIn2Co after structural relaxation.

- Total magnetization: 1.0 μB per formula unit
- Formation energy: 1.93 eV per formula unit
- DOS(E_F): 2.85 states/eV/cell
- Calculated total energy: -3.596 eV per atom
- Crystal system: trigonal

Cell: 8.4188 8.4188 8.4188 Å, 21.13 21.13 21.13°
Site moments in Bohr magnetons follow the coordinates.
Positions (direct):
1 In 0.4987 0.4987 0.4987  -0.02
2 In 0.0013 0.0013 0.0013  -0.02
3 Co 0.7500 0.7500 0.7500  1.10
4 Be 0.2500 0.2500 0.2500  0.01

***

(4)
DFT (PBE-GGA) results for Tb2SmAl after structural relaxation.

- Total magnetization: 1.1 μB per formula unit
- Offset from the most stable computed form: 16.9 kJ per mole of atoms
- Formation energy: -0.07 eV per formula unit
- DOS(E_F): 6.39 states/eV/cell
- Calculated total energy: -4.448 eV per atom
- Crystal system: cubic

Cell: 5.3945 5.3945 5.3945 Å, 60.00 60.00 60.00°
Site moments in Bohr magnetons follow the coordinates.
Positions (direct):
1 Al 0.5000 0.5000 0.5000  0.00
2 Tb 0.2500 0.2500 0.2500  0.25
3 Tb 0.7500 0.7500 0.7500  0.25
4 Sm 0.0000 0.0000 0.0000  0.27